(1)
A plane-wave DFT calculation with PBE was carried out for crystalline Mo3HPt at its relaxed geometry.

Lattice parameters (Å, degrees): 4.624 4.908 5.799 90.25 90.11 91.98
Space group P1 (No. 1)
Asymmetric unit:
Mo: 0.000 0.000 0.000 [1 per cell]
Mo: 0.000 0.000 0.487 [1 per cell]
Mo: 0.044 0.561 0.745 [1 per cell]
Mo: 0.487 0.121 0.747 [1 per cell]
Mo: 0.533 0.663 0.990 [1 per cell]
Mo: 0.537 0.669 0.496 [1 per cell]
H: 0.269 0.337 0.522 [1 per cell]
H: 0.878 0.209 0.746 [1 per cell]
Pt: 0.022 0.507 0.238 [1 per cell]
Pt: 0.512 0.166 0.239 [1 per cell]

Output
The volume is 13.154 Å³/atom. The crystal system is triclinic. Its excess energy over the best structure of this formula in the dataset is 0.0808 eV per atom. The density of states at the Fermi level is 0.6450 states/eV/atom.

(2)
A plane-wave DFT calculation with PBE was carried out for crystalline Mo3HPt at its relaxed geometry.

Lattice parameters (Å, degrees): 5.112 13.448 4.965 90.00 90.00 90.00
Space group Cmcm (No. 63)
Asymmetric unit:
Mo: 0.000 0.000 0.000 [4 per cell]
Mo: 0.243 0.344 0.250 [8 per cell]
H: 0.000 0.450 0.250 [4 per cell]
Pt: 0.000 0.173 0.250 [4 per cell]

Output
The volume is 17.066 Å³/atom. The crystal system is orthorhombic. Its excess energy over the best structure of this formula in the dataset is 0.8417 eV per atom. The density of states at the Fermi level is 0.7322 states/eV/atom.

(3)
A plane-wave DFT calculation with PBE was carried out for crystalline Mo3HPt at its relaxed geometry.

Lattice parameters (Å, degrees): 2.608 5.259 13.379 90.00 90.00 90.00
Space group Amm2 (No. 38)
Asymmetric unit:
Mo: 0.000 0.000 0.000 [2 per cell]
Mo: 0.500 0.249 0.845 [4 per cell]
H: 0.000 0.000 0.777 [2 per cell]
Pt: 0.500 0.000 0.172 [2 per cell]

Output
The volume is 18.350 Å³/atom. The crystal system is orthorhombic. Its excess energy over the best structure of this formula in the dataset is 0.8256 eV per atom. The density of states at the Fermi level is 0.8198 states/eV/atom.

(4)
A plane-wave DFT calculation with PBE was carried out for crystalline MoHPt at its relaxed geometry.

Lattice parameters (Å, degrees): 2.815 2.808 4.417 90.00 90.23 90.00
Space group Pm (No. 6)
Asymmetric unit:
Mo: 0.000 0.000 0.000 [1 per cell]
H: 0.502 0.000 0.286 [1 per cell]
Pt: 0.496 0.500 0.568 [1 per cell]

Output
The volume is 11.636 Å³/atom. The crystal system is monoclinic. Its excess energy over the best structure of this formula in the dataset is 0.0558 eV per atom. The density of states at the Fermi level is 0.7012 states/eV/atom.

(5)
A plane-wave DFT calculation with PBE was carried out for crystalline MoHPt2 at its relaxed geometry.

Lattice parameters (Å, degrees): 6.376 6.376 5.086 90.00 90.00 90.00
Space group I-42d (No. 122)
Asymmetric unit:
Mo: 0.000 0.000 0.000 [4 per cell]
H: 0.000 0.000 0.500 [4 per cell]
Pt: 0.148 0.750 0.625 [8 per cell]

Output
The volume is 12.922 Å³/atom. The crystal system is tetragonal. Its excess energy over the best structure of this formula in the dataset is 0.0000 eV per atom. The density of states at the Fermi level is 0.9153 states/eV/atom.

(6)
A plane-wave DFT calculation with PBE was carried out for crystalline Mo3HPt at its relaxed geometry.

Lattice parameters (Å, degrees): 3.997 5.672 5.690 90.00 90.00 90.00
Space group Pmmm (No. 47)
Asymmetric unit:
Mo: 0.000 0.000 0.000 [1 per cell]
Mo: 0.000 0.500 0.500 [1 per cell]
Mo: 0.500 0.248 0.239 [4 per cell]
H: 0.500 0.000 0.500 [1 per cell]
H: 0.500 0.500 0.500 [1 per cell]
Pt: 0.000 0.000 0.500 [1 per cell]
Pt: 0.000 0.500 0.000 [1 per cell]

Output
The volume is 12.899 Å³/atom. The crystal system is orthorhombic. Its excess energy over the best structure of this formula in the dataset is 0.0227 eV per atom. The density of states at the Fermi level is 0.5877 states/eV/atom.

(7)
A plane-wave DFT calculation with PBE was carried out for crystalline Mo3HPt at its relaxed geometry.

Lattice parameters (Å, degrees): 5.063 7.459 7.405 90.00 90.00 90.00
Space group Pnma (No. 62)
Asymmetric unit:
Mo: 0.000 0.082 0.144 [8 per cell]
Mo: 0.250 0.250 0.750 [4 per cell]
H: 0.249 0.250 0.251 [4 per cell]
Pt: 0.000 0.000 0.500 [4 per cell]

Output
The volume is 13.983 Å³/atom. The crystal system is orthorhombic. Its excess energy over the best structure of this formula in the dataset is 0.2891 eV per atom. The density of states at the Fermi level is 0.6993 states/eV/atom.

(8)
A plane-wave DFT calculation with PBE was carried out for crystalline Mo3HPt at its relaxed geometry.

Lattice parameters (Å, degrees): 6.691 5.285 8.481 90.00 114.32 90.00
Space group P2_1/c (No. 14)
Asymmetric unit:
Mo: 0.019 0.081 0.327 [4 per cell]
Mo: 0.200 0.539 0.547 [4 per cell]
Mo: 0.350 0.177 0.789 [4 per cell]
H: 0.070 0.209 0.560 [4 per cell]
Pt: 0.402 0.684 0.886 [4 per cell]

Output
The volume is 13.663 Å³/atom. The crystal system is monoclinic. Its excess energy over the best structure of this formula in the dataset is 0.2417 eV per atom. The density of states at the Fermi level is 0.8609 states/eV/atom.